No. 1
A relaxed Pm2HoTm4 crystal, computed with GGA-PBE.

Cell lengths 5.996, 8.433, 9.797 Å; angles 85.23, 72.80, 69.47 degrees
Space group P1 (No. 1)
One atom of each set of equivalent atoms:
Pm  0.000  0.000  0.000 (multiplicity 1)
Pm  0.015  0.929  0.359 (multiplicity 1)
Pm  0.193  0.499  0.499 (multiplicity 1)
Pm  0.298  0.069  0.640 (multiplicity 1)
Ho  0.186  0.568  0.138 (multiplicity 1)
Ho  0.895  0.432  0.861 (multiplicity 1)
Tm  0.368  0.643  0.777 (multiplicity 1)
Tm  0.403  0.145  0.274 (multiplicity 1)
Tm  0.444  0.216  0.921 (multiplicity 1)
Tm  0.582  0.783  0.077 (multiplicity 1)
Tm  0.618  0.712  0.422 (multiplicity 1)
Tm  0.749  0.287  0.578 (multiplicity 1)
Tm  0.788  0.357  0.222 (multiplicity 1)
Tm  0.821  0.853  0.723 (multiplicity 1)

Summary:
Energy above the most stable polymorph in this dataset in eV per atom: 0.0000
D(E_F) in states/eV per atom: 1.612
DFT formation energy in eV/atom: 0.08

=====

No. 2
A relaxed Pm2Ho7Tm2 crystal, computed with GGA-PBE.

Cell lengths 11.171, 11.440, 6.044 Å; angles 90.00, 113.68, 90.00 degrees
Space group C2/m (No. 12)
One atom of each set of equivalent atoms:
Pm  0.088  0.000  0.304 (multiplicity 4)
Ho  0.000  0.500  0.500 (multiplicity 2)
Ho  0.175  0.263  0.680 (multiplicity 8)
Ho  0.227  0.500  0.081 (multiplicity 4)
Tm  0.000  0.285  0.000 (multiplicity 4)

Summary:
D(E_F) in states/eV per atom: 1.593
DFT formation energy in eV/atom: 0.15

=====

No. 3
A relaxed Pm2Ho5Tm5 crystal, computed with GGA-PBE.

Cell lengths 14.965, 4.993, 11.152 Å; angles 90.00, 116.53, 90.00 degrees
Space group C2/m (No. 12)
One atom of each set of equivalent atoms:
Pm  0.083  0.000  0.250 (multiplicity 4)
Ho  0.000  0.000  0.500 (multiplicity 2)
Ho  0.167  0.000  0.000 (multiplicity 4)
Ho  0.248  0.000  0.749 (multiplicity 4)
Tm  0.000  0.500  0.000 (multiplicity 2)
Tm  0.084  0.500  0.750 (multiplicity 4)
Tm  0.167  0.500  0.501 (multiplicity 4)

Summary:
D(E_F) in states/eV per atom: 1.286
DFT formation energy in eV/atom: 0.02

=====

No. 4
A relaxed Pm12HoTm6 crystal, computed with GGA-PBE.

Cell lengths 12.0499, 12.0499, 15.2083 Å; angles 90.00, 90.00, 120.00 degrees
Space group R-3 (No. 148, hexagonal axes)
One atom of each set of equivalent atoms:
Pm  0.0033  0.1747  0.1915 (multiplicity 18)
Pm  0.0468  0.1972  0.4162 (multiplicity 18)
Ho  0.0000  0.0000  0.0000 (multiplicity 3)
Tm  0.0158  0.5874  0.6869 (multiplicity 18)

Summary:
Energy above the most stable polymorph in this dataset in eV per atom: 0.0000
D(E_F) in states/eV per atom: 1.731
DFT formation energy in eV/atom: 0.14

=====

No. 5
A relaxed PmHo8Tm2 crystal, computed with GGA-PBE.

Cell lengths 19.024, 6.873, 5.494 Å; angles 90.00, 92.82, 90.00 degrees
Space group C2/m (No. 12)
One atom of each set of equivalent atoms:
Pm  0.000  0.000  0.000 (multiplicity 2)
Ho  0.047  0.500  0.238 (multiplicity 4)
Ho  0.134  0.266  0.732 (multiplicity 8)
Ho  0.189  0.000  0.233 (multiplicity 4)
Tm  0.216  0.500  0.250 (multiplicity 4)

Summary:
Energy above the most stable polymorph in this dataset in eV per atom: 0.0346
D(E_F) in states/eV per atom: 1.643
DFT formation energy in eV/atom: 0.15

=====

No. 6
A relaxed Pm3Ho4Tm5 crystal, computed with GGA-PBE.

Cell lengths 6.125, 7.079, 8.664 Å; angles 89.95, 89.85, 89.85 degrees
Space group P-1 (No. 2)
One atom of each set of equivalent atoms:
Pm  0.000  0.000  0.000 (multiplicity 1)
Pm  0.167  0.250  0.334 (multiplicity 2)
Ho  0.169  0.749  0.333 (multiplicity 2)
Ho  0.333  0.500  0.668 (multiplicity 2)
Tm  0.000  0.500  0.000 (multiplicity 1)
Tm  0.335  0.000  0.668 (multiplicity 2)
Tm  0.499  0.749  0.000 (multiplicity 2)

Summary:
Energy above the most stable polymorph in this dataset in eV per atom: 0.0000
D(E_F) in states/eV per atom: 1.297
DFT formation energy in eV/atom: 0.02